A plane-wave DFT calculation with PBE was carried out for an optimized crystal structure of ScAs2PbBr.

Cell: 5.364 5.364 5.498 Å, 90.00 90.00 90.00°
Space group P4/mmm (No. 123)
Symmetry-distinct sites (fractional):
Sc: 0.000 0.000 0.000 (multiplicity 1)
As: 0.000 0.500 0.500 (multiplicity 2)
Pb: 0.500 0.500 0.500 (multiplicity 1)
Br: 0.500 0.500 0.000 (multiplicity 1)

Calculated values
Crystal system: tetragonal
Raw formation energy in eV per atom: 0.503
Relative energy among the computed polymorphs in meV/atom: 778
Calculated volume in A^3/atom: 31.64
DOS(E_F) in states/eV/atom: 0.37

***

A plane-wave DFT calculation with PBE was carried out for an optimized crystal structure of ScAs2PbBr.

Cell: 5.173 5.173 5.295 Å, 90.00 90.00 90.00°
Space group P4/mmm (No. 123)
Symmetry-distinct sites (fractional):
Sc: 0.000 0.000 0.000 (multiplicity 1)
As: 0.000 0.500 0.000 (multiplicity 2)
Pb: 0.500 0.500 0.500 (multiplicity 1)
Br: 0.000 0.000 0.500 (multiplicity 1)

Calculated values
Crystal system: tetragonal
Raw formation energy in eV per atom: -0.275
Relative energy among the computed polymorphs in meV/atom: 0
Calculated volume in A^3/atom: 28.34
DOS(E_F) in states/eV/atom: 0.75